(1)
## MnPt3 (meta-GGA SCAN)

Data for a crystal of MnPt3 relaxed with PBEsol.

POSCAR file:
```
MnPt3
1.0
2.759 0.000 0.000
0.000 3.801 0.000
0.000 0.000 5.531
Mn Pt
1 3
Cartesian
0.000 0.000 0.000
0.000 0.000 2.765
1.380 1.901 1.342
1.380 1.901 4.189
```

Calculated values
Its density of states at the Fermi level is 0.8712 states/eV/atom. Its space-group type is Pmmm (47). The spin magnetization is 3.78 μB per cell. For the total energy, the calculation gives -57.641 eV per atom. Its mass density is 18.32 g cm⁻³. As for the calculated volume: 14.5 A^3/atom.

=====

(2)
## Mn5Pt (meta-GGA SCAN)

Data for a crystal of Mn5Pt relaxed with PBEsol.

POSCAR file:
```
Mn5Pt
1.0
4.000 0.000 0.000
0.000 2.541 0.000
0.000 0.000 13.123
Mn Pt
10 2
Cartesian
0.000 0.000 0.000
0.000 0.000 4.141
0.000 0.000 8.639
0.000 1.270 2.078
0.000 1.270 6.562
0.000 1.270 10.703
2.000 0.000 1.407
2.000 0.000 10.006
2.000 1.270 3.444
2.000 1.270 7.969
2.000 0.000 5.711
2.000 1.270 12.272
```

Calculated values
Its density of states at the Fermi level is 0.8625 states/eV/atom. Its space-group type is Amm2 (38). The spin magnetization is 4.28 μB per cell. For the total energy, the calculation gives -26.976 eV per atom. Its mass density is 11.70 g cm⁻³. As for the calculated volume: 11.1 A^3/atom.

=====

(3)
## MnPt (meta-GGA SCAN)

Data for a crystal of MnPt relaxed with PBEsol.

POSCAR file:
```
MnPt
1.0
2.887 0.000 0.000
0.000 2.887 0.000
0.000 0.000 3.457
Mn Pt
1 1
Cartesian
0.000 0.000 0.000
1.444 1.444 1.728
```

Calculated values
Its density of states at the Fermi level is 0.1925 states/eV/atom. Its space-group type is P4/mmm (123). The spin magnetization is 4.51 μB per cell. For the total energy, the calculation gives -45.034 eV per atom. Its mass density is 14.41 g cm⁻³. As for the calculated volume: 14.4 A^3/atom.